i.
Compound: Cd2IrOs
Source: Alexandria
Functional: PBE-GGA
Structure: optimized geometry

a b c (Å): 5.156 5.156 2.809
angles (deg): 90.00 90.00 114.05
Fractional coordinates of all 4 atoms:
Ir  0.500  0.000  0.500
Cd  0.500  0.500  0.000
Cd  0.000  0.000  0.000
Os  0.000  0.500  0.500

## Properties
crystal system = orthorhombic
SG = No. 65

---

ii.
Compound: Cd2IrOs
Source: Alexandria
Functional: PBE-GGA
Structure: optimized geometry

a b c (Å): 4.705 4.705 3.077
angles (deg): 90.00 90.00 90.00
Site moments in Bohr magnetons follow the coordinates.
Fractional coordinates of all 4 atoms:
Cd  0.500  0.500  0.000  0.00
Os  0.000  0.500  0.500  0.56
Cd  0.000  0.000  0.000  0.00
Ir  0.500  0.000  0.500  0.10

## Properties
crystal system = tetragonal
SG = No. 123

---

iii.
Compound: Cd2IrOs
Source: Alexandria
Functional: PBE-GGA
Structure: optimized geometry

a b c (Å): 9.550 9.550 9.550
angles (deg): 17.29 17.29 17.29
Site moments in Bohr magnetons follow the coordinates.
Fractional coordinates of all 4 atoms:
Ir  0.250  0.250  0.250  0.12
Os  0.750  0.750  0.750  0.12
Cd  0.501  0.501  0.501  0.00
Cd  0.999  0.999  0.999  0.00

## Properties
crystal system = trigonal
SG = No. 166

---

iv.
Compound: Cd2IrOs
Source: Alexandria
Functional: PBE-GGA
Structure: optimized geometry

a b c (Å): 2.817 2.817 9.608
angles (deg): 90.00 90.00 117.42
Site moments in Bohr magnetons follow the coordinates.
Fractional coordinates of all 4 atoms:
Ir  0.500  0.500  0.250  0.03
Cd  0.000  0.000  0.497  0.00
Os  0.500  0.500  0.750  0.21
Cd  0.000  0.000  0.003  0.00

## Properties
crystal system = orthorhombic
SG = No. 65

---

Stability verdict: iii, ahead by 0.045 eV/atom

---

i.
Compound: Cd2IrOs
Source: Alexandria
Functional: PBE-GGA
Structure: optimized geometry

a b c (Å): 7.610 7.610 5.978
angles (deg): 50.47 50.47 90.00
Fractional coordinates of all 8 atoms:
Ir  0.000  0.000  0.000
Os  0.500  0.500  0.000
Cd  0.375  0.372  0.750
Cd  0.122  0.625  0.250
Ir  0.750  0.250  0.500
Os  0.250  0.750  0.500
Cd  0.628  0.125  0.250
Cd  0.875  0.878  0.750

## Properties
crystal system = tetragonal
SG = No. 122

---

ii.
Compound: Cd2IrOs
Source: Alexandria
Functional: PBE-GGA
Structure: optimized geometry

a b c (Å): 4.587 4.587 4.587
angles (deg): 60.00 60.00 60.00
Site moments in Bohr magnetons follow the coordinates.
Fractional coordinates of all 4 atoms:
Ir  0.500  0.500  0.500  0.41
Cd  0.750  0.750  0.750  0.01
Cd  0.250  0.250  0.250  0.01
Os  0.000  0.000  0.000  0.93

## Properties
crystal system = cubic
SG = No. 225

---

iii.
Compound: Cd2IrOs
Source: Alexandria
Functional: PBE-GGA
Structure: optimized geometry

a b c (Å): 4.938 4.938 5.140
angles (deg): 80.31 80.31 33.63
Fractional coordinates of all 4 atoms:
Cd  0.007  0.007  0.004
Cd  0.244  0.244  0.244
Os  0.761  0.761  0.719
Ir  0.489  0.489  0.532

## Properties
crystal system = monoclinic
SG = No. 8

---

iv.
Compound: Cd2IrOs
Source: Alexandria
Functional: PBE-GGA
Structure: optimized geometry

a b c (Å): 9.887 9.887 9.887
angles (deg): 16.59 16.59 16.59
Fractional coordinates of all 4 atoms:
Os  0.757  0.757  0.757
Cd  0.244  0.244  0.244
Cd  0.006  0.006  0.006
Ir  0.494  0.494  0.494

## Properties
crystal system = trigonal
SG = No. 160

---

Stability verdict: iv, ahead by 0.166 eV/atom

---

i.
Compound: CdPIr2
Source: Alexandria
Functional: PBE-GGA
Structure: optimized geometry

a b c (Å): 5.026 4.576 2.934
angles (deg): 90.00 89.99 112.78
Fractional coordinates of all 4 atoms:
Ir  0.000  0.000  0.000
Ir  0.500  0.000  0.500
P  0.000  0.500  0.500
Cd  0.500  0.500  0.000

## Properties
crystal system = monoclinic
SG = No. 10

---

ii.
Compound: CdPIr2
Source: Alexandria
Functional: PBE-GGA
Structure: optimized geometry

a b c (Å): 2.888 2.888 7.303
angles (deg): 90.00 90.00 90.48
Fractional coordinates of all 4 atoms:
Ir  0.000  0.000  0.052
Ir  0.000  0.000  0.448
Cd  0.500  0.500  0.750
P  0.500  0.500  0.250

## Properties
crystal system = orthorhombic
SG = No. 65

---

Stability verdict: ii, ahead by 0.375 eV/atom

---

i.
Compound: CdPIr3
Source: Alexandria
Functional: PBE-GGA
Structure: optimized geometry

a b c (Å): 4.848 4.848 4.848
angles (deg): 90.00 90.00 90.00
Site moments in Bohr magnetons follow the coordinates.
Fractional coordinates of all 5 atoms:
Cd  0.000  0.000  0.000  0.01
Ir  0.000  0.000  0.500  0.83
Ir  0.500  0.000  0.000  0.70
Ir  0.000  0.500  0.000  0.94
P  0.500  0.500  0.500  -0.01

## Properties
crystal system = cubic
SG = No. 221

---

ii.
Compound: CdPIr3
Source: Alexandria
Functional: PBE-GGA
Structure: optimized geometry

a b c (Å): 4.430 4.430 4.430
angles (deg): 90.00 90.00 90.00
Fractional coordinates of all 5 atoms:
Cd  0.500  0.500  0.500
Ir  0.000  0.000  0.500
Ir  0.000  0.500  0.000
P  0.000  0.000  0.000
Ir  0.500  0.000  0.000

## Properties
crystal system = cubic
SG = No. 221

---

Stability verdict: ii, ahead by 2.284 eV/atom

---

i.
Compound: Pa2CdIr
Source: Alexandria
Functional: PBE-GGA
Structure: optimized geometry

a b c (Å): 3.661 3.661 6.959
angles (deg): 90.00 90.00 90.00
Fractional coordinates of all 4 atoms:
Pa  0.000  0.000  0.798
Ir  0.500  0.500  0.000
Cd  0.500  0.500  0.500
Pa  0.000  0.000  0.202

## Properties
crystal system = tetragonal
SG = No. 123

---

ii.
Compound: Pa2CdIr
Source: Alexandria
Functional: PBE-GGA
Structure: optimized geometry

a b c (Å): 3.457 3.457 10.739
angles (deg): 80.74 80.74 60.00
Fractional coordinates of all 4 atoms:
Pa  0.105  0.105  0.684
Pa  0.895  0.895  0.316
Ir  0.500  0.500  0.500
Cd  0.000  0.000  0.000

## Properties
crystal system = trigonal
SG = No. 166

---

Stability verdict: i, ahead by 0.350 eV/atom

---

i.
Compound: CdIrPb
Source: Alexandria
Functional: PBE-GGA
Structure: optimized geometry

a b c (Å): 3.235 3.235 7.165
angles (deg): 90.00 90.00 120.00
Fractional coordinates of all 3 atoms:
Pb  0.667  0.333  0.630
Cd  0.000  0.000  0.038
Ir  0.333  0.667  0.332

## Properties
crystal system = trigonal
SG = No. 156

---

ii.
Compound: CdIrPb
Source: Alexandria
Functional: PBE-GGA
Structure: optimized geometry

a b c (Å): 4.612 4.612 4.612
angles (deg): 60.00 60.00 60.00
Fractional coordinates of all 3 atoms:
Ir  0.750  0.750  0.750
Pb  0.000  0.000  0.000
Cd  0.500  0.500  0.500

## Properties
crystal system = cubic
SG = No. 216

---

iii.
Compound: CdIrPb
Source: Alexandria
Functional: PBE-GGA
Structure: optimized geometry

a b c (Å): 7.327 6.645 6.645
angles (deg): 151.90 154.00 37.63
Fractional coordinates of all 3 atoms:
Cd  0.843  0.968  0.875
Pb  0.823  0.697  0.126
Ir  0.334  0.335  0.999

## Properties
crystal system = monoclinic
SG = No. 8

---

Stability verdict: ii, ahead by 0.042 eV/atom

---

i.
Compound: Cd2IrPb2
Source: Alexandria
Functional: PBE-GGA
Structure: optimized geometry

a b c (Å): 7.184 7.184 5.005
angles (deg): 90.00 90.00 90.00
Fractional coordinates of all 10 atoms:
Pb  0.842  0.658  0.000
Pb  0.342  0.842  0.000
Pb  0.158  0.342  0.000
Cd  0.344  0.156  0.500
Cd  0.844  0.344  0.500
Ir  0.500  0.500  0.000
Pb  0.658  0.158  0.000
Ir  0.000  0.000  0.000
Cd  0.156  0.656  0.500
Cd  0.656  0.844  0.500

## Properties
crystal system = tetragonal
SG = No. 127

---

ii.
Compound: Cd2IrPb2
Source: Alexandria
Functional: PBE-GGA
Structure: optimized geometry

a b c (Å): 4.176 4.176 8.066
angles (deg): 75.00 75.00 90.00
Site moments in Bohr magnetons follow the coordinates.
Fractional coordinates of all 5 atoms:
Pb  0.750  0.250  0.500  -0.01
Pb  0.250  0.750  0.500  -0.01
Ir  0.000  0.000  0.000  0.22
Cd  0.587  0.587  0.826  0.00
Cd  0.413  0.413  0.174  0.00

## Properties
crystal system = tetragonal
SG = No. 139

---

Stability verdict: i, ahead by 0.439 eV/atom